1.
{"formula": "Nb3Tl3O10", "functional": "PBE", "state": "optimized geometry", "formation_energy_uncorrected_mev_per_atom": -1946, "sg": "I4_1/amd, No. 141", "dft_energy_ev_per_cell": -472.09, "magmom_total_mub_per_atom": 0.000, "lattice_angstrom": [[7.5860, 0.0000, 0.0000], [0.0000, 7.5860, 0.0000], [-3.7930, -3.7930, 16.3034]], "species": ["O", "O", "O", "Nb", "O", "O", "O", "O", "O", "O", "O", "O", "Tl", "Tl", "Tl", "Tl", "Nb", "Nb", "O", "Nb", "Tl", "O", "O", "O", "O", "O", "O", "Tl", "O", "Tl", "Nb", "Nb", "O", "O", "O", "O", "O", "O", "O", "Tl", "Nb", "Nb", "Nb", "O", "O", "Nb", "Nb", "O", "O", "O", "O", "O", "O", "O", "Tl", "O", "Tl", "O", "O", "Tl", "Nb", "Tl", "O", "O"], "fractional_positions": [[0.4348, 0.4348, 0.8697], [0.5652, 0.5652, 0.1303], [0.5696, 0.0696, 0.5000], [0.1250, 0.8750, 0.2500], [0.3590, 0.9766, 0.3315], [0.5696, 0.4304, 0.5000], [0.1441, 0.6441, 0.2882], [0.6804, 0.3196, 0.0000], [0.3196, 0.6804, 0.0000], [0.0234, 0.6410, 0.6685], [0.2266, 0.7225, 0.8315], [0.6049, 0.1090, 0.8315], [0.9591, 0.7231, 0.9182], [0.8048, 0.0409, 0.0818], [0.6250, 0.3750, 0.7500], [0.9731, 0.7091, 0.4182], [0.6250, 0.8750, 0.7500], [0.9568, 0.2081, 0.4162], [0.0234, 0.0275, 0.6685], [0.7906, 0.5419, 0.0838], [0.9591, 0.1952, 0.9182], [0.9725, 0.3549, 0.3315], [0.9069, 0.4069, 0.8138], [0.2775, 0.7734, 0.1685], [0.6804, 0.6804, 0.0000], [0.1059, 0.1059, 0.2118], [0.3559, 0.8559, 0.7118], [0.2769, 0.0409, 0.0818], [0.5931, 0.0931, 0.1862], [0.2909, 0.5548, 0.5818], [0.2932, 0.5419, 0.0838], [0.1250, 0.3750, 0.2500], [0.6569, 0.6569, 0.3138], [0.6451, 0.0275, 0.6685], [0.2255, 0.2255, 0.4509], [0.9304, 0.0696, 0.5000], [0.6848, 0.1848, 0.3697], [0.4755, 0.9755, 0.9509], [0.2266, 0.1090, 0.8315], [0.6250, 0.8750, 0.2500], [0.4581, 0.7068, 0.9162], [0.1250, 0.8750, 0.7500], [0.4581, 0.2094, 0.9162], [0.8910, 0.7734, 0.1685], [0.9304, 0.4304, 0.5000], [0.7919, 0.5406, 0.5838], [0.4594, 0.2081, 0.4162], [0.2775, 0.3951, 0.1685], [0.3590, 0.3549, 0.3315], [0.3431, 0.3431, 0.6862], [0.7745, 0.7745, 0.5491], [0.6049, 0.7225, 0.8315], [0.8941, 0.8941, 0.7882], [0.8910, 0.3951, 0.1685], [0.1250, 0.3750, 0.7500], [0.0245, 0.5245, 0.0491], [0.2909, 0.0269, 0.5818], [0.9725, 0.9766, 0.3315], [0.6451, 0.6410, 0.6685], [0.4452, 0.7091, 0.4182], [0.7919, 0.0432, 0.5838], [0.6250, 0.3750, 0.2500], [0.3196, 0.3196, 0.0000], [0.8152, 0.3152, 0.6303]]}

***

2.
{"formula": "Nb5Tl3O12", "functional": "PBE", "state": "optimized geometry", "formation_energy_uncorrected_mev_per_atom": -1983, "sg": "Ia-3d, No. 230", "dft_energy_ev_per_cell": -626.41, "magmom_total_mub_per_atom": 0.201, "lattice_angstrom": [[-10.0291, -5.3729, -3.8594], [-0.0597, 0.4424, 12.0061], [0.5176, 11.1613, -4.4163]], "species": ["Nb", "O", "O", "O", "Tl", "O", "O", "O", "O", "Tl", "O", "O", "O", "Nb", "Tl", "Nb", "Nb", "O", "Nb", "O", "O", "Tl", "Tl", "O", "Nb", "O", "O", "Tl", "O", "O", "O", "Tl", "O", "Nb", "Tl", "Nb", "O", "O", "O", "Nb", "O", "O", "O", "O", "Tl", "O", "Nb", "O", "O", "O", "Nb", "O", "Nb", "Nb", "Nb", "Nb", "O", "O", "O", "Nb", "O", "Nb", "Tl", "Nb", "Tl", "O", "O", "O", "O", "O", "O", "Nb", "O", "O", "O", "Tl", "O", "Nb", "O", "O"], "fractional_positions": [[0.0000, 0.5000, 0.0000], [0.0126, 0.3981, 0.3256], [0.8130, 0.8855, 0.9874], [0.6870, 0.5126, 0.6145], [0.6250, 0.3750, 0.7500], [0.3855, 0.3981, 0.5725], [0.8981, 0.3256, 0.5126], [0.8981, 0.5725, 0.8855], [0.8855, 0.8130, 0.4874], [0.2500, 0.1250, 0.3750], [0.6019, 0.6145, 0.9275], [0.3981, 0.3855, 0.0725], [0.3130, 0.8256, 0.4275], [0.8750, 0.2500, 0.6250], [0.3750, 0.6250, 0.2500], [0.5000, 0.0000, 0.0000], [0.3750, 0.1250, 0.7500], [0.8855, 0.0725, 0.8981], [0.2500, 0.8750, 0.1250], [0.1744, 0.6870, 0.0725], [0.0725, 0.1870, 0.1744], [0.3750, 0.7500, 0.6250], [0.1250, 0.8750, 0.7500], [0.5725, 0.8981, 0.3855], [0.7500, 0.1250, 0.8750], [0.6145, 0.0126, 0.6870], [0.3981, 0.0126, 0.8256], [0.2500, 0.6250, 0.8750], [0.5725, 0.6744, 0.6870], [0.4275, 0.1019, 0.6145], [0.1870, 0.0725, 0.6744], [0.7500, 0.3750, 0.1250], [0.4874, 0.3130, 0.8855], [0.1250, 0.3750, 0.2500], [0.8750, 0.1250, 0.2500], [0.6250, 0.7500, 0.8750], [0.1019, 0.6744, 0.4874], [0.8256, 0.5126, 0.3981], [0.3256, 0.4275, 0.8130], [0.0000, 0.5000, 0.5000], [0.6744, 0.1019, 0.9874], [0.5126, 0.6870, 0.1145], [0.6145, 0.6019, 0.4275], [0.9874, 0.3855, 0.8130], [0.6250, 0.2500, 0.3750], [0.9275, 0.8130, 0.8256], [0.7500, 0.6250, 0.3750], [0.9874, 0.6019, 0.6744], [0.3130, 0.4874, 0.3855], [0.6019, 0.9874, 0.1744], [0.0000, 0.0000, 0.5000], [0.0725, 0.8855, 0.3981], [0.1250, 0.7500, 0.3750], [0.2500, 0.3750, 0.6250], [0.0000, 0.0000, 0.0000], [0.8750, 0.6250, 0.7500], [0.1019, 0.4275, 0.1145], [0.8130, 0.9275, 0.3256], [0.5126, 0.8256, 0.8981], [0.6250, 0.8750, 0.2500], [0.1145, 0.1870, 0.5126], [0.5000, 0.5000, 0.5000], [0.8750, 0.7500, 0.1250], [0.3750, 0.2500, 0.1250], [0.1250, 0.2500, 0.8750], [0.8256, 0.3130, 0.9275], [0.1870, 0.1145, 0.0126], [0.3855, 0.9874, 0.3130], [0.0126, 0.6145, 0.1870], [0.1145, 0.9275, 0.1019], [0.4874, 0.1744, 0.1019], [0.5000, 0.5000, 0.0000], [0.4275, 0.3256, 0.3130], [0.3256, 0.8981, 0.0126], [0.9275, 0.1145, 0.6019], [0.7500, 0.8750, 0.6250], [0.6744, 0.5725, 0.1870], [0.5000, 0.0000, 0.5000], [0.6870, 0.1744, 0.5725], [0.1744, 0.4874, 0.6019]]}

***

3.
{"formula": "NbTlO3", "functional": "PBE", "state": "optimized geometry", "formation_energy_uncorrected_mev_per_atom": -2031, "sg": "P2_1/c, No. 14", "dft_energy_ev_per_cell": -149.86, "magmom_total_mub_per_atom": 0.000, "lattice_angstrom": [[-2.8793, -1.3536, 4.1445], [7.2839, -1.2561, 4.6502], [-1.7101, 7.1279, 1.1399]], "species": ["O", "O", "O", "Nb", "O", "O", "Tl", "Nb", "O", "Tl", "O", "Tl", "O", "O", "O", "O", "Nb", "Tl", "Nb", "O"], "fractional_positions": [[0.1242, 0.7089, 0.5436], [0.6242, 0.2911, 0.9564], [0.4308, 0.1492, 0.5645], [0.7591, 0.0951, 0.9356], [0.4218, 0.9487, 0.8245], [0.9218, 0.0513, 0.6755], [0.2186, 0.3694, 0.8117], [0.7409, 0.0951, 0.4356], [0.0692, 0.1492, 0.0645], [0.7814, 0.6306, 0.1883], [0.9308, 0.8508, 0.9355], [0.7186, 0.6306, 0.6883], [0.8758, 0.2911, 0.4564], [0.5692, 0.8508, 0.4355], [0.5782, 0.0513, 0.1755], [0.3758, 0.7089, 0.0436], [0.2409, 0.9049, 0.0644], [0.2814, 0.3694, 0.3117], [0.2591, 0.9049, 0.5644], [0.0782, 0.9487, 0.3245]]}

***

4.
{"formula": "Nb2TlO4", "functional": "PBE", "state": "optimized geometry", "formation_energy_uncorrected_mev_per_atom": -1739, "sg": "P1, No. 1", "dft_energy_ev_per_cell": -109.02, "magmom_total_mub_per_atom": 0.000, "lattice_angstrom": [[6.8713, -0.2395, -0.0925], [-0.7351, 6.8147, 0.0822], [-2.9332, -3.4200, 4.4602]], "species": ["O", "O", "O", "O", "Tl", "O", "O", "Nb", "O", "Nb", "O", "Nb", "Tl", "Nb"], "fractional_positions": [[0.4602, 0.0914, 0.2685], [0.7893, 0.6135, 0.1967], [0.8411, 0.1682, 0.2943], [0.3869, 0.1979, 0.7842], [0.0173, 0.0187, 0.0038], [0.8257, 0.1913, 0.7306], [0.4162, 0.6030, 0.2166], [0.5941, 0.3796, 0.2553], [0.8700, 0.5492, 0.7062], [0.1261, 0.3404, 0.7441], [0.4178, 0.5939, 0.8042], [0.6783, 0.8870, 0.2927], [0.2346, 0.7333, 0.4968], [0.5924, 0.3825, 0.7060]]}

***

5.
{"formula": "NbTlO3", "functional": "PBE", "state": "optimized geometry", "formation_energy_uncorrected_mev_per_atom": -2065, "sg": "R-3, No. 148", "dft_energy_ev_per_cell": -75.27, "magmom_total_mub_per_atom": 0.000, "lattice_angstrom": [[7.9441, 0.0158, -0.4835], [-0.0097, 5.4600, 0.0201], [2.1293, 2.7185, 4.2294]], "species": ["O", "O", "O", "O", "O", "Tl", "Nb", "Nb", "Tl", "O"], "fractional_positions": [[0.8878, 0.5531, 0.3233], [0.8878, 0.9399, 0.7214], [0.1984, 0.6492, 0.9047], [0.1983, 0.0473, 0.1199], [0.1984, 0.2625, 0.5066], [0.6887, 0.4830, 0.8502], [0.0721, 0.9442, 0.9279], [0.0140, 0.2581, 0.3000], [0.3974, 0.7194, 0.3776], [0.8877, 0.1550, 0.1081]]}

***

6.
{"formula": "NbTlO3", "functional": "PBE", "state": "optimized geometry", "formation_energy_uncorrected_mev_per_atom": -1991, "sg": "C2/c, No. 15", "dft_energy_ev_per_cell": -149.07, "magmom_total_mub_per_atom": 0.000, "lattice_angstrom": [[13.7856, 0.0000, -1.0159], [5.9247, 4.6591, -3.3258], [-5.9247, 4.6591, 3.3258]], "species": ["O", "Nb", "Tl", "O", "Nb", "Tl", "Nb", "O", "Tl", "Nb", "O", "O", "O", "O", "Tl", "O", "O", "O", "O", "O"], "fractional_positions": [[0.2044, 0.7934, 0.9796], [0.1638, 0.4827, 0.3014], [0.2500, 0.8742, 0.3742], [0.7956, 0.2066, 0.0204], [0.6638, 0.1986, 0.0173], [0.7500, 0.5815, 0.0815], [0.3362, 0.8014, 0.9827], [0.5839, 0.7440, 0.3073], [0.2500, 0.4185, 0.9185], [0.8362, 0.5173, 0.6986], [0.0839, 0.1927, 0.7560], [0.3601, 0.6652, 0.7652], [0.4161, 0.2560, 0.6927], [0.1399, 0.2652, 0.1652], [0.7500, 0.1258, 0.6258], [0.6399, 0.3348, 0.2348], [0.7044, 0.5204, 0.7066], [0.9161, 0.8073, 0.2440], [0.2956, 0.4796, 0.2934], [0.8601, 0.7348, 0.8348]]}